Entry 1:
## CaCr2Fe (GGA-PBE)

Data for crystalline CaCr2Fe at its relaxed geometry.

relative energy among the computed polymorphs = 175 meV/atom

Unit cell a=4.544 b=4.544 c=5.529 alpha=74.67 beta=74.67 gamma=39.03
Site moments in Bohr magnetons follow the coordinates.
Fractional coordinates of all 4 atoms:
Cr 0.044 0.044 0.882  1.31
Cr 0.749 0.749 0.747  -1.35
Fe 0.462 0.462 0.616  1.59
Ca 0.245 0.245 0.256  -0.01



Entry 2:
## Ca2CrFe (GGA-PBE)

Data for crystalline Ca2CrFe at its relaxed geometry.

relative energy among the computed polymorphs = 294 meV/atom

Unit cell a=3.682 b=3.682 c=7.278 alpha=90.00 beta=90.00 gamma=90.00
Site moments in Bohr magnetons follow the coordinates.
Fractional coordinates of all 4 atoms:
Cr 0.500 0.500 0.250  3.91
Ca 0.000 0.000 0.984  0.09
Ca 0.000 0.000 0.516  0.09
Fe 0.500 0.500 0.750  -2.79



Entry 3:
## Ca2CrFe (GGA-PBE)

Data for crystalline Ca2CrFe at its relaxed geometry.

relative energy among the computed polymorphs = 288 meV/atom

Unit cell a=10.753 b=10.753 c=7.896 alpha=47.09 beta=47.09 gamma=90.00
Site moments in Bohr magnetons follow the coordinates.
Fractional coordinates of all 8 atoms:
Cr 0.250 0.750 0.500  2.94
Cr 0.500 0.500 0.000  2.94
Fe 0.000 0.000 0.000  -1.33
Fe 0.750 0.250 0.500  -1.33
Ca 0.375 0.197 0.750  0.04
Ca 0.875 0.053 0.750  0.03
Ca 0.803 0.125 0.250  0.03
Ca 0.947 0.625 0.250  0.03



Entry 4:
## CaCr4Fe (GGA-PBE)

Data for crystalline CaCr4Fe at its relaxed geometry.

Unit cell a=4.929 b=4.929 c=4.929 alpha=60.00 beta=60.00 gamma=60.00
Site moments in Bohr magnetons follow the coordinates.
Fractional coordinates of all 6 atoms:
Cr 0.875 0.375 0.375  -0.14
Cr 0.375 0.875 0.375  -0.14
Cr 0.375 0.375 0.375  -0.14
Cr 0.375 0.375 0.875  -0.14
Fe 0.750 0.750 0.750  2.31
Ca 0.000 0.000 0.000  -0.05



Entry 5:
## CaCr2Fe (GGA-PBE)

Data for crystalline CaCr2Fe at its relaxed geometry.

relative energy among the computed polymorphs = 292 meV/atom

Unit cell a=3.108 b=4.556 c=4.738 alpha=90.00 beta=90.00 gamma=90.00
Site moments in Bohr magnetons follow the coordinates.
Fractional coordinates of all 4 atoms:
Fe 0.500 0.000 0.500  2.43
Cr 0.000 0.000 0.000  -2.97
Cr 0.500 0.500 0.000  3.17
Ca 0.000 0.500 0.500  0.01



Entry 6:
## Ca2CrFe (GGA-PBE)

Data for crystalline Ca2CrFe at its relaxed geometry.

relative energy among the computed polymorphs = 63 meV/atom

Unit cell a=5.777 b=5.777 c=5.202 alpha=63.24 beta=63.24 gamma=38.02
Site moments in Bohr magnetons follow the coordinates.
Fractional coordinates of all 4 atoms:
Cr 0.564 0.564 0.436  2.96
Fe 0.192 0.192 0.308  -1.93
Ca 0.975 0.975 0.025  0.04
Ca 0.769 0.769 0.731  0.03



| no. | DFT formation energy (eV/atom) |
| --- | --- |
| 1 | 0.643 |
| 2 | 0.717 |
| 3 | 0.711 |
| 4 | 0.615 |
| 5 | 0.760 |
| 6 | 0.486 |